Record 1
A plane-wave DFT calculation with PBE-GGA was carried out for a relaxed SnH3F6 crystal.

Computed properties:
As for the symmetry: No. 148. For the total energy, the calculation gives -3.88 eV/atom.

a = 9.980 Å, b = 9.980 Å, c = 9.980 Å
α = 33.24°, β = 33.24°, γ = 33.24°
Sites, in units of the cell vectors:
Sn 0.000 0.000 0.000
Sn 0.500 0.500 0.500
H 0.120 0.307 0.240
H 0.240 0.120 0.307
H 0.307 0.240 0.120
H 0.693 0.760 0.880
H 0.760 0.880 0.693
H 0.880 0.693 0.760
F 0.021 0.210 0.647
F 0.164 0.473 0.741
F 0.210 0.647 0.021
F 0.259 0.836 0.527
F 0.353 0.979 0.790
F 0.473 0.741 0.164
F 0.527 0.259 0.836
F 0.647 0.021 0.210
F 0.741 0.164 0.473
F 0.790 0.353 0.979
F 0.836 0.527 0.259
F 0.979 0.790 0.353

=====

Record 2
A plane-wave DFT calculation with PBE-GGA was carried out for a relaxed SnHF2 crystal.

Computed properties:
As for the symmetry: No. 166. For the polymorph energy (0 for the lowest one), the calculation gives 820.6 meV/atom.

a = 3.038 Å, b = 3.038 Å, c = 18.843 Å
α = 90.00°, β = 90.00°, γ = 120.00°
Sites, in units of the cell vectors:
Sn 0.000 0.000 0.000
Sn 0.333 0.667 0.667
Sn 0.667 0.333 0.333
H 0.000 0.000 0.500
H 0.333 0.667 0.167
H 0.667 0.333 0.833
F 0.000 0.000 0.118
F 0.000 0.000 0.882
F 0.333 0.667 0.549
F 0.333 0.667 0.784
F 0.667 0.333 0.216
F 0.667 0.333 0.451

=====

Record 3
A plane-wave DFT calculation with PBE-GGA was carried out for a relaxed SnHF2 crystal.

Computed properties:
As for the symmetry: No. 1. For the polymorph energy (0 for the lowest one), the calculation gives 0.0 meV/atom.

a = 5.059 Å, b = 5.069 Å, c = 5.480 Å
α = 94.65°, β = 94.62°, γ = 112.01°
Sites, in units of the cell vectors:
Sn 0.000 0.000 0.000
Sn 0.272 0.728 0.500
H 0.102 0.327 0.183
H 0.673 0.898 0.816
F 0.002 0.610 0.819
F 0.254 0.128 0.704
F 0.390 0.999 0.182
F 0.871 0.747 0.296

=====

Record 4
A plane-wave DFT calculation with PBE-GGA was carried out for a relaxed SnHF crystal.

Computed properties:
As for the symmetry: No. 153. For the polymorph energy (0 for the lowest one), the calculation gives 0.0 meV/atom.

a = 4.617 Å, b = 4.617 Å, c = 7.025 Å
α = 90.00°, β = 90.00°, γ = 120.00°
Sites, in units of the cell vectors:
Sn 0.012 0.506 0.000
Sn 0.494 0.506 0.667
Sn 0.494 0.988 0.333
H 0.256 0.513 0.333
H 0.256 0.744 0.667
H 0.487 0.744 0.000
F 0.196 0.098 0.000
F 0.902 0.098 0.667
F 0.902 0.804 0.333

=====

Record 5
A plane-wave DFT calculation with PBE-GGA was carried out for a relaxed SnHF crystal.

Computed properties:
As for the symmetry: No. 107. For the polymorph energy (0 for the lowest one), the calculation gives 7.6 meV/atom.

a = 3.295 Å, b = 3.295 Å, c = 8.546 Å
α = 90.00°, β = 90.00°, γ = 90.00°
Sites, in units of the cell vectors:
Sn 0.000 0.000 0.000
Sn 0.500 0.500 0.500
H 0.000 0.000 0.468
H 0.500 0.500 0.968
F 0.000 0.000 0.759
F 0.500 0.500 0.259

=====

Record 6
A plane-wave DFT calculation with PBE-GGA was carried out for a relaxed SnHF2 crystal.

Computed properties:
As for the symmetry: No. 225. For the polymorph energy (0 for the lowest one), the calculation gives 470.2 meV/atom.

a = 5.950 Å, b = 5.950 Å, c = 5.950 Å
α = 90.00°, β = 90.00°, γ = 90.00°
Sites, in units of the cell vectors:
Sn 0.000 0.000 0.000
Sn 0.000 0.500 0.500
Sn 0.500 0.000 0.500
Sn 0.500 0.500 0.000
H 0.000 0.000 0.500
H 0.000 0.500 0.000
H 0.500 0.000 0.000
H 0.500 0.500 0.500
F 0.250 0.250 0.250
F 0.250 0.250 0.750
F 0.250 0.750 0.250
F 0.250 0.750 0.750
F 0.750 0.250 0.250
F 0.750 0.250 0.750
F 0.750 0.750 0.250
F 0.750 0.750 0.750

=====

Record 7
A plane-wave DFT calculation with PBE-GGA was carried out for a relaxed SnHF2 crystal.

Computed properties:
As for the symmetry: No. 166. For the polymorph energy (0 for the lowest one), the calculation gives 44.2 meV/atom.

a = 3.257 Å, b = 3.257 Å, c = 18.897 Å
α = 90.00°, β = 90.00°, γ = 120.00°
Sites, in units of the cell vectors:
Sn 0.000 0.000 0.000
Sn 0.333 0.667 0.667
Sn 0.667 0.333 0.333
H 0.000 0.000 0.500
H 0.333 0.667 0.167
H 0.667 0.333 0.833
F 0.000 0.000 0.439
F 0.000 0.000 0.561
F 0.333 0.667 0.106
F 0.333 0.667 0.227
F 0.667 0.333 0.773
F 0.667 0.333 0.894

=====

Record 8
A plane-wave DFT calculation with PBE-GGA was carried out for a relaxed SnH2F4 crystal.

Computed properties:
As for the symmetry: No. 2. For the polymorph energy (0 for the lowest one), the calculation gives 225.6 meV/atom.

a = 3.340 Å, b = 4.831 Å, c = 7.140 Å
α = 81.61°, β = 81.06°, γ = 88.88°
Sites, in units of the cell vectors:
Sn 0.000 0.000 0.000
H 0.003 0.548 0.537
H 0.997 0.452 0.463
F 0.067 0.729 0.827
F 0.457 0.805 0.145
F 0.543 0.195 0.855
F 0.933 0.271 0.173

=====

Record 9
A plane-wave DFT calculation with PBE-GGA was carried out for a relaxed SnH2F2 crystal.

Computed properties:
As for the symmetry: No. 1. For the total energy, the calculation gives -4.27 eV/atom.

a = 5.329 Å, b = 5.331 Å, c = 6.163 Å
α = 90.05°, β = 106.01°, γ = 90.00°
Sites, in units of the cell vectors:
Sn 0.000 0.000 0.000
Sn 0.386 0.500 0.681
H 0.591 0.149 0.304
H 0.620 0.064 0.405
H 0.767 0.564 0.276
H 0.796 0.649 0.377
F 0.121 0.176 0.739
F 0.265 0.677 0.941
F 0.674 0.306 0.927
F 0.713 0.806 0.754

=====

Record 10
A plane-wave DFT calculation with PBE-GGA was carried out for a relaxed SnHF2 crystal.

Computed properties:
As for the symmetry: No. 122. For the polymorph energy (0 for the lowest one), the calculation gives 604.4 meV/atom.

a = 4.860 Å, b = 4.860 Å, c = 7.787 Å
α = 90.00°, β = 90.00°, γ = 90.00°
Sites, in units of the cell vectors:
Sn 0.000 0.000 0.000
Sn 0.000 0.500 0.250
Sn 0.500 0.000 0.750
Sn 0.500 0.500 0.500
H 0.000 0.000 0.500
H 0.000 0.500 0.750
H 0.500 0.000 0.250
H 0.500 0.500 0.000
F 0.002 0.750 0.625
F 0.250 0.002 0.375
F 0.250 0.498 0.875
F 0.498 0.750 0.125
F 0.502 0.250 0.125
F 0.750 0.502 0.875
F 0.750 0.998 0.375
F 0.998 0.250 0.625

=====

Record 11
A plane-wave DFT calculation with PBE-GGA was carried out for a relaxed Sn2HF crystal.

Computed properties:
As for the symmetry: No. 225. For the polymorph energy (0 for the lowest one), the calculation gives 108.3 meV/atom.

a = 6.486 Å, b = 6.486 Å, c = 6.486 Å
α = 90.00°, β = 90.00°, γ = 90.00°
Sites, in units of the cell vectors:
Sn 0.250 0.250 0.250
Sn 0.250 0.250 0.750
Sn 0.250 0.750 0.250
Sn 0.250 0.750 0.750
Sn 0.750 0.250 0.250
Sn 0.750 0.250 0.750
Sn 0.750 0.750 0.250
Sn 0.750 0.750 0.750
H 0.000 0.000 0.000
H 0.000 0.500 0.500
H 0.500 0.000 0.500
H 0.500 0.500 0.000
F 0.000 0.000 0.500
F 0.000 0.500 0.000
F 0.500 0.000 0.000
F 0.500 0.500 0.500

=====

Record 12
A plane-wave DFT calculation with PBE-GGA was carried out for a relaxed Sn2HF crystal.

Computed properties:
As for the symmetry: No. 122. For the polymorph energy (0 for the lowest one), the calculation gives 0.0 meV/atom.

a = 5.314 Å, b = 5.314 Å, c = 11.468 Å
α = 90.00°, β = 90.00°, γ = 90.00°
Sites, in units of the cell vectors:
Sn 0.193 0.250 0.125
Sn 0.250 0.693 0.375
Sn 0.250 0.807 0.875
Sn 0.307 0.250 0.625
Sn 0.693 0.750 0.625
Sn 0.750 0.193 0.875
Sn 0.750 0.307 0.375
Sn 0.807 0.750 0.125
H 0.000 0.000 0.000
H 0.000 0.500 0.250
H 0.500 0.000 0.750
H 0.500 0.500 0.500
F 0.000 0.000 0.500
F 0.000 0.500 0.750
F 0.500 0.000 0.250
F 0.500 0.500 0.000